# 1
## CuReP2 (PBEsol)

Data for a relaxed CuReP2 crystal.

The value obtained for the energy above the most stable polymorph in this dataset is 0 meV/atom. The calculation puts the formation energy at -0.01 eV per atom. Its total energy is -7.3185 eV per atom. The volume comes out at 55.9 Å³/cell.

Lattice parameters (Å, degrees): 2.967 3.200 6.277 104.77 103.67 90.00
Fractional positions:
Cu (0.197, 0.697, 0.395)
P (0.046, 0.046, 0.092)
P (0.798, 0.298, 0.596)
Re (0.458, 0.458, 0.917)

# 2
## RbTcO4 (PBEsol)

Data for a relaxed RbTcO4 crystal.

Its total energy is -7.2824 eV per atom. The volume comes out at 220.6 Å³/cell.

Lattice parameters (Å, degrees): 5.799 5.799 7.736 112.01 112.01 90.00
Fractional positions:
Rb (0.250, 0.750, 0.500)
Rb (0.000, 0.000, 0.000)
Tc (0.500, 0.500, 0.000)
Tc (0.750, 0.250, 0.500)
O (0.315, 0.210, 0.851)
O (0.891, 0.065, 0.351)
O (0.790, 0.464, 0.149)
O (0.536, 0.641, 0.851)
O (0.714, 0.109, 0.649)
O (0.460, 0.286, 0.351)
O (0.359, 0.685, 0.149)
O (0.935, 0.540, 0.649)

# 3
## Cu2Te (PBEsol)

Data for a relaxed Cu2Te crystal.

Its total energy is -4.0288 eV per atom. The volume comes out at 104.5 Å³/cell.

Lattice parameters (Å, degrees): 3.688 3.675 7.927 90.00 103.45 90.00
Fractional positions:
Cu (0.555, 0.750, 0.111)
Cu (0.943, 0.750, 0.887)
Cu (0.057, 0.250, 0.113)
Cu (0.445, 0.250, 0.889)
Te (0.325, 0.750, 0.651)
Te (0.675, 0.250, 0.349)

# 4
## La8Pb (PBEsol)

Data for a relaxed La8Pb crystal.

The calculation puts the formation energy at -0.12 eV per atom. Its total energy is -5.3177 eV per atom. The volume comes out at 293.9 Å³/cell.

Lattice parameters (Å, degrees): 4.920 8.111 8.111 84.72 72.34 72.34
Fractional positions:
La (0.336, 0.000, 0.329)
La (0.664, 0.000, 0.671)
La (0.681, 0.319, 0.319)
La (0.336, 0.329, 0.000)
La (0.000, 0.319, 0.681)
La (0.664, 0.671, 0.000)
La (0.319, 0.681, 0.681)
La (0.000, 0.681, 0.319)
Pb (0.000, 0.000, 0.000)